1.
Density functional theory data (PBE) for an optimized crystal structure of TbPmCu2Si2.

Calculated values
SG: No. 164
Uncorrected energy (eV per atom): -5.391
Crystal system: trigonal
DOS(E_F) (states/eV/cell): 1.8

Cell lengths 4.1873, 4.1873, 7.6492 Å; angles 90.00, 90.00, 120.00 degrees
Last column: nearest neighbours and their distance in Å.
Fractional positions:
1 Tb 0.0000 0.0000 0.5000  6 Cu 3.03, 6 Si 3.05
2 Pm 0.0000 0.0000 0.0000  6 Si 3.12, 6 Cu 3.13
3 Cu 0.3333 0.6667 0.7396  3 Si 2.42
4 Cu 0.6667 0.3333 0.2604  3 Si 2.42
5 Si 0.3333 0.6667 0.2569  3 Cu 2.42
6 Si 0.6667 0.3333 0.7431  3 Cu 2.42



2.
Density functional theory data (PBE) for an optimized crystal structure of Li3As2Rh.

Calculated values
SG: No. 72
Calculated formation energy (eV/atom): -0.5951
Crystal system: orthorhombic
DOS(E_F) (states/eV/cell): 3.7

Cell lengths 5.5110, 5.5832, 7.5187 Å; angles 111.79, 111.50, 90.00 degrees
Last column: nearest neighbours and their distance in Å.
Fractional positions:
1 Li 0.4248 0.6701 0.3402  5 As 2.64-2.89, 2 Li 2.92, 2 Rh 2.95
2 Li 0.5752 0.3299 0.6598  5 As 2.64-2.89, 2 Li 2.92, 2 Rh 2.95
3 Li 0.0846 0.8299 0.6598  5 As 2.64-2.89, 2 Li 2.92, 2 Rh 2.95
4 Li 0.9154 0.1701 0.3402  5 As 2.64-2.89, 2 Li 2.92, 2 Rh 2.95
5 Li 0.5000 0.7500 0.0000  4 As 2.58, 2 Rh 2.76, 2 Li 2.79
6 Li 0.5000 0.2500 0.0000  4 As 2.58, 2 Rh 2.76, 2 Li 2.79
7 As 0.3562 0.1240 0.2481  2 Rh 2.47, 4 Li 2.58-2.75
8 As 0.6438 0.8760 0.7519  2 Rh 2.47, 4 Li 2.58-2.75
9 As 0.1082 0.3760 0.7519  2 Rh 2.47, 4 Li 2.58-2.75
10 As 0.8918 0.6240 0.2481  2 Rh 2.47, 4 Li 2.58-2.75
11 Rh 0.0000 0.2500 0.0000  4 As 2.47, 2 Li 2.76
12 Rh 0.0000 0.7500 0.0000  4 As 2.47, 2 Li 2.76



3.
Density functional theory data (PBE) for an optimized crystal structure of Al2VHOs.

Calculated values
SG: No. 123
Uncorrected energy (eV per atom): -6.362
Crystal system: tetragonal
DOS(E_F) (states/eV/cell): 2.9

Cell lengths 4.1967, 4.1967, 3.3301 Å; angles 90.00, 90.00, 90.00 degrees
Last column: nearest neighbours and their distance in Å.
Fractional positions:
1 H 0.0000 0.0000 0.0000  2 V 1.67
2 Os 0.5000 0.5000 0.5000  8 Al 2.68, 4 V 2.97
3 Al 0.0000 0.5000 0.0000  2 H 2.10
4 Al 0.5000 0.0000 0.0000  2 H 2.10
5 V 0.0000 0.0000 0.5000  2 H 1.67



4.
Density functional theory data (PBE) for an optimized crystal structure of HgPt4Rh.

Calculated values
SG: No. 216
Calculated formation energy (eV/atom): 0.2280
Crystal system: cubic
DOS(E_F) (states/eV/cell): 5.4

Cell lengths 5.2810, 5.2810, 5.2810 Å; angles 60.00, 60.00, 60.00 degrees
Last column: nearest neighbours and their distance in Å.
Fractional positions:
1 Hg 0.0000 0.0000 0.0000  12 Pt 3.10, 4 Rh 3.23
2 Pt 0.6247 0.6247 0.1260  6 Pt 2.63-2.65
3 Pt 0.6247 0.1260 0.6247  6 Pt 2.63-2.65
4 Pt 0.6247 0.6247 0.6247  6 Pt 2.63-2.65
5 Pt 0.1260 0.6247 0.6247  6 Pt 2.63-2.65
6 Rh 0.2500 0.2500 0.2500  12 Pt 3.10, 4 Hg 3.23



5.
Density functional theory data (PBE) for an optimized crystal structure of NaSr3Ac2Se6.

Calculated values
SG: No. 12
Uncorrected energy (eV per atom): -4.858
Crystal system: monoclinic
DOS(E_F) (states/eV/cell): 3.0

Cell lengths 4.4534, 8.9130, 9.9451 Å; angles 103.21, 102.94, 90.00 degrees
Last column: nearest neighbours and their distance in Å.
Fractional positions:
1 Na 0.5000 0.0000 0.0000  6 Se 3.16-3.18
2 Sr 0.5000 0.5000 0.0000  6 Se 3.14-3.16
3 Sr 0.8370 0.1649 0.6741  6 Se 3.09-3.18
4 Sr 0.1630 0.8351 0.3259  6 Se 3.09-3.18
5 Ac 0.8371 0.6736 0.6743  6 Se 3.05-3.19
6 Ac 0.1629 0.3264 0.3257  6 Se 3.05-3.19
7 Se 0.3311 0.9159 0.6622  2 Ac 3.12, 3 Sr 3.13-3.17, 1 Na 3.18
8 Se 0.6679 0.5835 0.3358  3 Sr 3.16-3.18, 3 Ac 3.18-3.19
9 Se 0.6689 0.0841 0.3378  2 Ac 3.12, 3 Sr 3.13-3.17, 1 Na 3.18
10 Se 0.0011 0.2524 0.0023  1 Ac 3.05, 3 Sr 3.09-3.14, 2 Na 3.16
11 Se 0.9989 0.7476 0.9977  1 Ac 3.05, 3 Sr 3.09-3.14, 2 Na 3.16
12 Se 0.3321 0.4165 0.6642  3 Sr 3.16-3.18, 3 Ac 3.18-3.19



6.
Density functional theory data (PBE) for an optimized crystal structure of Ca3Pr12Nd.

Calculated values
SG: No. 123
Calculated formation energy (eV/atom): 0.0482
Crystal system: tetragonal
DOS(E_F) (states/eV/cell): 25.1

Cell lengths 5.2744, 5.2744, 21.0769 Å; angles 90.00, 90.00, 90.00 degrees
Last column: nearest neighbours and their distance in Å.
Fractional positions:
1 Ca 0.0000 0.0000 0.2491  12 Pr 3.73-3.76
2 Ca 0.0000 0.0000 0.5000  12 Pr 3.73
3 Ca 0.0000 0.0000 0.7509  12 Pr 3.73-3.76
4 Pr 0.5000 0.5000 0.0000  8 Pr 3.68, 4 Nd 3.73
5 Pr 0.5000 0.5000 0.2503  8 Pr 3.72-3.78, 4 Ca 3.73
6 Pr 0.5000 0.5000 0.5000  4 Ca 3.73, 8 Pr 3.73
7 Pr 0.5000 0.5000 0.7497  8 Pr 3.72-3.78, 4 Ca 3.73
8 Pr 0.5000 0.0000 0.1220  8 Pr 3.68-3.78, 2 Nd 3.68, 2 Ca 3.76
9 Pr 0.5000 0.0000 0.3745  8 Pr 3.72-3.73, 4 Ca 3.73
10 Pr 0.5000 0.0000 0.6255  8 Pr 3.72-3.73, 4 Ca 3.73
11 Pr 0.5000 0.0000 0.8780  8 Pr 3.68-3.78, 2 Nd 3.68, 2 Ca 3.76
12 Pr 0.0000 0.5000 0.1220  8 Pr 3.68-3.78, 2 Nd 3.68, 2 Ca 3.76
13 Pr 0.0000 0.5000 0.3745  8 Pr 3.72-3.73, 4 Ca 3.73
14 Pr 0.0000 0.5000 0.6255  8 Pr 3.72-3.73, 4 Ca 3.73
15 Pr 0.0000 0.5000 0.8780  8 Pr 3.68-3.78, 2 Nd 3.68, 2 Ca 3.76
16 Nd 0.0000 0.0000 0.0000  12 Pr 3.68-3.73



7.
Density functional theory data (PBE) for an optimized crystal structure of Sc2Mn2Pb.

Calculated values
SG: No. 127
Calculated formation energy (eV/atom): 0.0075
Crystal system: tetragonal
DOS(E_F) (states/eV/cell): 9.3

Cell lengths 6.8005, 6.8005, 4.0431 Å; angles 90.00, 90.00, 90.00 degrees
Last column: nearest neighbours and their distance in Å.
Fractional positions:
1 Pb 0.0000 0.0000 0.0000  4 Mn 2.77
2 Pb 0.5000 0.5000 0.0000  4 Mn 2.77
3 Sc 0.1754 0.6754 0.5000  6 Mn 2.82-2.91
4 Sc 0.6754 0.8246 0.5000  6 Mn 2.82-2.91
5 Sc 0.8246 0.3246 0.5000  6 Mn 2.82-2.91
6 Sc 0.3246 0.1754 0.5000  6 Mn 2.82-2.91
7 Mn 0.3937 0.8937 0.0000  1 Mn 2.04
8 Mn 0.8937 0.6063 0.0000  1 Mn 2.04
9 Mn 0.6063 0.1063 0.0000  1 Mn 2.04
10 Mn 0.1063 0.3937 0.0000  1 Mn 2.04



8.
Density functional theory data (PBE) for an optimized crystal structure of CaAc6Mg.

Calculated values
SG: No. 139
Calculated formation energy (eV/atom): 0.0096
Crystal system: tetragonal
ΔE to the lowest computed polymorph (meV/atom): 0.0
DOS(E_F) (states/eV/cell): 11.0

Cell lengths 5.6965, 5.6965, 11.1026 Å; angles 75.14, 75.14, 90.00 degrees
Last column: nearest neighbours and their distance in Å.
Fractional positions:
1 Ca 0.5000 0.5000 0.0000  8 Ac 3.74, 4 Mg 4.03
2 Ac 0.7490 0.7490 0.5020  12 Ac 3.94-4.03
3 Ac 0.6174 0.1174 0.7652  2 Mg 3.74, 2 Ca 3.74, 8 Ac 3.94-4.03
4 Ac 0.1174 0.6174 0.7652  2 Ca 3.74, 2 Mg 3.74, 8 Ac 3.94-4.03
5 Ac 0.3826 0.8826 0.2348  2 Mg 3.74, 2 Ca 3.74, 8 Ac 3.94-4.03
6 Ac 0.2510 0.2510 0.4980  12 Ac 3.94-4.03
7 Ac 0.8826 0.3826 0.2348  2 Ca 3.74, 2 Mg 3.74, 8 Ac 3.94-4.03
8 Mg 0.0000 0.0000 0.0000  8 Ac 3.74, 4 Ca 4.03



9.
Density functional theory data (PBE) for an optimized crystal structure of Ag2AuSe.

Calculated values
SG: No. 6
Uncorrected energy (eV per atom): -3.049
Crystal system: monoclinic
DOS(E_F) (states/eV/cell): 0.8

Cell lengths 4.0474, 2.9648, 6.6275 Å; angles 78.04, 90.00, 90.00 degrees
Last column: nearest neighbours and their distance in Å.
Fractional positions:
1 Ag 0.0000 0.9178 0.0166  1 Au 2.92, 6 Ag 2.93-2.96, 4 Se 2.94-3.03
2 Ag 0.5000 0.3104 0.2498  4 Au 2.87-2.88, 6 Ag 2.93-2.96, 1 Se 3.13
3 Au 0.0000 0.7110 0.4662  2 Se 2.81, 5 Ag 2.87-2.92, 2 Au 2.96
4 Se 0.5000 0.5608 0.7674  2 Au 2.81, 5 Ag 2.94-3.13, 2 Se 2.96



10.
Density functional theory data (PBE) for an optimized crystal structure of Cu5P.

Calculated values
SG: No. 8
Calculated formation energy (eV/atom): 0.0447
Crystal system: monoclinic
ΔE to the lowest computed polymorph (meV/atom): 34.7
DOS(E_F) (states/eV/cell): 2.1

Cell lengths 4.8978, 4.8978, 6.0618 Å; angles 76.43, 76.43, 31.26 degrees
Last column: nearest neighbours and their distance in Å.
Fractional positions:
1 Cu 0.9948 0.9948 0.9983  9 Cu 2.53-2.64, 3 P 2.54-2.57
2 Cu 0.3319 0.3319 0.3312  1 P 2.49, 11 Cu 2.56-2.64
3 Cu 0.6727 0.6727 0.6717  2 P 2.51, 10 Cu 2.55-2.64
4 Cu 0.6098 0.6098 0.2770  10 Cu 2.54-2.64, 2 P 2.55
5 Cu 0.9506 0.9506 0.6031  10 Cu 2.53-2.64, 2 P 2.70
6 P 0.2735 0.2735 0.9519  10 Cu 2.49-2.70, 2 P 2.64



11.
Density functional theory data (PBE) for an optimized crystal structure of ZrBe2Pb.

Calculated values
SG: No. 160
Calculated formation energy (eV/atom): 0.0009
Crystal system: trigonal
DOS(E_F) (states/eV/cell): 1.3

Cell lengths 5.8901, 5.8901, 5.8901 Å; angles 37.40, 37.40, 37.40 degrees
Last column: nearest neighbours and their distance in Å.
Fractional positions:
1 Pb 0.5253 0.5253 0.5253  6 Be 2.74-2.77
2 Be 0.9597 0.9597 0.9597  3 Be 2.18
3 Be 0.2958 0.2958 0.2958  3 Be 2.18
4 Zr 0.7193 0.7193 0.7193  6 Be 2.64-2.66



12.
Density functional theory data (PBE) for an optimized crystal structure of Tm3GaSi2.

Calculated values
SG: No. 62
Uncorrected energy (eV per atom): -5.213
Crystal system: orthorhombic
DOS(E_F) (states/eV/cell): 12.8

Cell lengths 4.0852, 11.2753, 11.3170 Å; angles 90.00, 90.00, 90.00 degrees
Last column: nearest neighbours and their distance in Å.
Fractional positions:
1 Tm 0.2500 0.3803 0.0538  5 Si 2.87-3.05, 1 Ga 2.93
2 Tm 0.7500 0.6197 0.9462  5 Si 2.87-3.05, 1 Ga 2.93
3 Tm 0.7500 0.8803 0.4462  5 Si 2.87-3.05, 1 Ga 2.93
4 Tm 0.2500 0.1197 0.5538  5 Si 2.87-3.05, 1 Ga 2.93
5 Tm 0.2500 0.6981 0.2015  3 Si 2.81-3.04, 2 Ga 2.85
6 Tm 0.7500 0.3019 0.7985  3 Si 2.81-3.04, 2 Ga 2.85
7 Tm 0.7500 0.1981 0.2985  3 Si 2.81-3.04, 2 Ga 2.85
8 Tm 0.2500 0.8019 0.7015  3 Si 2.81-3.04, 2 Ga 2.85
9 Tm 0.2500 0.4368 0.3739  5 Si 2.95-3.06, 3 Ga 3.01-3.05
10 Tm 0.7500 0.5632 0.6261  5 Si 2.95-3.06, 3 Ga 3.01-3.05
11 Tm 0.7500 0.9368 0.1261  5 Si 2.95-3.06, 3 Ga 3.01-3.05
12 Tm 0.2500 0.0632 0.8739  5 Si 2.95-3.06, 3 Ga 3.01-3.05
13 Ga 0.2500 0.1332 0.1345  3 Si 2.50-2.52
14 Ga 0.7500 0.8668 0.8655  3 Si 2.50-2.52
15 Ga 0.7500 0.6332 0.3655  3 Si 2.50-2.52
16 Ga 0.2500 0.3668 0.6345  3 Si 2.50-2.52
17 Si 0.2500 0.6854 0.4824  2 Ga 2.50
18 Si 0.7500 0.3146 0.5176  2 Ga 2.50
19 Si 0.7500 0.1854 0.0176  2 Ga 2.50
20 Si 0.2500 0.8146 0.9824  2 Ga 2.50
21 Si 0.2500 0.9991 0.3130  1 Ga 2.52
22 Si 0.7500 0.0009 0.6870  1 Ga 2.52
23 Si 0.7500 0.4991 0.1870  1 Ga 2.52
24 Si 0.2500 0.5009 0.8130  1 Ga 2.52